# 1
A relaxed structure of AgAu, computed with PBEsol.

Geometry as extended XYZ:
```
4
Lattice="-0.6529 1.5952 -3.6635 -2.5730 -2.7415 1.5021 -2.9814 4.0573 2.2980" Properties=species:S:1:pos:R:3 pbc="T T T"
Ag 0.0000 0.0000 0.0000
Au -3.5290 3.1926 -0.2181
Au -2.6783 -0.2816 0.3547
Ag -1.4907 2.0286 1.1490
```

Calculated values
Magnetic moment = 0.00 μB per atom
Volume = 79 Å³ per cell
Density = 12.89 g cm⁻³

=====

# 2
A relaxed structure of SrSiNi2Bi, computed with PBEsol.

Geometry as extended XYZ:
```
5
Lattice="-0.3890 1.4311 -4.3917 -4.1452 -2.0523 -0.3016 -2.6467 5.0685 1.8862" Properties=species:S:1:pos:R:3 pbc="T T T"
Sr 0.0000 0.0000 0.0000
Ni -2.0726 -1.0262 -0.1508
Si -3.5905 2.2237 -1.4036
Ni -0.1945 0.7156 -2.1958
Bi -1.3234 2.5343 0.9431
```

Calculated values
Magnetic moment = 0.00 μB per atom
Formation energy (no corrections) = 1.71 eV/atom
Volume = 129 Å³ per cell
Density = 5.67 g cm⁻³

=====

# 3
A relaxed structure of LiP2RuS, computed with PBEsol.

Geometry as extended XYZ:
```
5
Lattice="4.0717 0.0000 0.0000 0.0000 4.0717 0.0000 0.0000 0.0000 4.2553" Properties=species:S:1:pos:R:3 pbc="T T T"
Ru 2.0358 2.0358 2.1277
P 2.0358 0.0000 0.0000
S 0.0000 0.0000 2.1277
Li 0.0000 0.0000 0.0000
P 0.0000 2.0358 0.0000
```

Calculated values
Magnetic moment = 0.00 μB per atom
Formation energy (no corrections) = 0.97 eV/atom
Volume = 71 Å³ per cell
Density = 4.76 g cm⁻³

=====

| no. | final energy (eV per formula unit) |
| --- | --- |
| 1 | -6.595 |
| 2 | -15.646 |
| 3 | -23.273 |